Record 1
La12PmPb3: optimized geometry, PBE.

abc: 5.098 5.098 20.668
angles: 90.00 90.00 90.00
Positions (direct):
La (0.500, 0.500, 0.000)
La (0.500, 0.500, 0.256)
La (0.500, 0.500, 0.500)
La (0.500, 0.500, 0.744)
La (0.500, 0.000, 0.130)
La (0.500, 0.000, 0.378)
La (0.500, 0.000, 0.622)
La (0.500, 0.000, 0.870)
La (0.000, 0.500, 0.130)
La (0.000, 0.500, 0.378)
La (0.000, 0.500, 0.622)
La (0.000, 0.500, 0.870)
Pm (0.000, 0.000, 0.000)
Pb (0.000, 0.000, 0.255)
Pb (0.000, 0.000, 0.500)
Pb (0.000, 0.000, 0.745)

Properties
crystal system: tetragonal
energy relative to the elements: -278 meV/atom

=====

Record 2
Sc2Al5Tc2Ru: optimized geometry, PBE.

abc: 3.167 10.309 10.309
angles: 90.00 90.00 90.00
Positions (direct):
Sc (0.000, 0.686, 0.186)
Sc (0.000, 0.314, 0.814)
Sc (0.000, 0.186, 0.314)
Sc (0.000, 0.814, 0.686)
Al (0.500, 0.191, 0.050)
Al (0.500, 0.809, 0.950)
Al (0.500, 0.050, 0.809)
Al (0.500, 0.691, 0.450)
Al (0.500, 0.950, 0.191)
Al (0.500, 0.309, 0.550)
Al (0.500, 0.550, 0.691)
Al (0.500, 0.450, 0.309)
Al (0.500, 0.500, 0.000)
Al (0.500, 0.000, 0.500)
Tc (0.000, 0.133, 0.633)
Tc (0.000, 0.867, 0.367)
Tc (0.000, 0.633, 0.867)
Tc (0.000, 0.367, 0.133)
Ru (0.000, 0.000, 0.000)
Ru (0.000, 0.500, 0.500)

Properties
crystal system: tetragonal
energy relative to the elements: -330 meV/atom

=====

Record 3
CeThRu2: optimized geometry, PBE.

abc: 3.645 4.855 4.855
angles: 90.00 90.00 90.00
Positions (direct):
Ru (0.000, 0.000, 0.500)
Ru (0.000, 0.500, 0.000)
Ce (0.500, 0.000, 0.000)
Th (0.500, 0.500, 0.500)

Properties
crystal system: tetragonal
energy relative to the elements: -318 meV/atom

=====

Record 4
Mn2CuOs: optimized geometry, PBE.

abc: 4.452 4.452 2.695
angles: 90.00 90.00 107.63
Positions (direct):
Cu (0.000, 0.500, 0.500)
Mn (0.000, 0.000, 0.000)
Mn (0.500, 0.500, 0.000)
Os (0.500, 0.000, 0.500)

Properties
crystal system: orthorhombic
energy relative to the elements: 182 meV/atom

=====

Record 5
TaCo2: optimized geometry, PBE.

abc: 2.730 2.730 6.370
angles: 90.00 90.00 120.00
Positions (direct):
Co (0.000, 0.000, 0.980)
Co (0.333, 0.667, 0.687)
Ta (0.667, 0.333, 0.333)

Properties
crystal system: trigonal
energy relative to the elements: 245 meV/atom

=====

Record 6
MgO: optimized geometry, PBE.

abc: 12.896 12.896 7.576
angles: 85.65 85.65 15.47
Positions (direct):
Mg (0.032, 0.032, 0.845)
Mg (0.313, 0.313, 0.927)
Mg (0.148, 0.148, 0.464)
Mg (0.286, 0.286, 0.372)
Mg (0.449, 0.449, 0.557)
Mg (0.988, 0.988, 0.260)
Mg (0.872, 0.872, 0.248)
Mg (0.578, 0.578, 0.180)
Mg (0.743, 0.743, 0.642)
Mg (0.563, 0.563, 0.556)
Mg (0.859, 0.859, 0.650)
Mg (0.433, 0.433, 0.944)
O (0.497, 0.497, 0.766)
O (0.220, 0.220, 0.543)
O (0.381, 0.381, 0.756)
O (0.087, 0.087, 0.646)
O (0.057, 0.057, 0.083)
O (0.338, 0.338, 0.165)
O (0.788, 0.788, 0.839)
O (0.921, 0.921, 0.458)
O (0.629, 0.629, 0.360)
O (0.937, 0.937, 0.071)
O (0.809, 0.809, 0.458)
O (0.512, 0.512, 0.367)

Properties
raw formation energy: -2.56 eV/atom
crystal system: monoclinic

=====

Record 7
HfPaCo2: optimized geometry, PBE.

abc: 4.540 4.540 4.727
angles: 61.30 61.30 60.00
Positions (direct):
Co (0.791, 0.791, 0.628)
Co (0.209, 0.209, 0.372)
Pa (0.000, 0.000, 0.000)
Hf (0.500, 0.500, 0.500)

Properties
crystal system: trigonal
energy relative to the elements: -274 meV/atom

=====

Record 8
SnPd3Au2: optimized geometry, PBE.

abc: 4.748 7.518 6.075
angles: 90.00 90.00 71.59
Positions (direct):
Sn (0.341, 0.318, 0.000)
Sn (0.659, 0.682, 0.000)
Pd (0.827, 0.345, 0.761)
Pd (0.500, 0.000, 0.249)
Pd (0.173, 0.655, 0.239)
Pd (0.827, 0.345, 0.239)
Pd (0.173, 0.655, 0.761)
Pd (0.500, 0.000, 0.751)
Au (0.000, 0.000, 0.000)
Au (0.000, 0.000, 0.500)
Au (0.335, 0.329, 0.500)
Au (0.665, 0.671, 0.500)

Properties
crystal system: orthorhombic
energy relative to the elements: -297 meV/atom

=====

Record 9
Pm2PrSm2Y2: optimized geometry, PBE.

abc: 5.136 6.280 8.132
angles: 97.34 90.00 114.14
Positions (direct):
Pm (0.143, 0.285, 0.430)
Pm (0.857, 0.715, 0.570)
Pr (0.000, 0.000, 0.000)
Sm (0.572, 0.143, 0.714)
Sm (0.428, 0.857, 0.286)
Y (0.714, 0.429, 0.143)
Y (0.286, 0.571, 0.857)

Properties
crystal system: monoclinic
energy relative to the elements: 14 meV/atom

=====

Record 10
Hg4P2Cl5: optimized geometry, PBE.

abc: 4.247 9.168 9.338
angles: 103.33 102.18 104.31
Positions (direct):
Hg (0.708, 0.581, 0.342)
Hg (0.110, 0.748, 0.024)
Hg (0.292, 0.419, 0.658)
Hg (0.890, 0.252, 0.976)
P (0.506, 0.578, 0.931)
P (0.494, 0.422, 0.069)
Cl (0.310, 0.801, 0.320)
Cl (0.690, 0.199, 0.680)
Cl (0.106, 0.324, 0.381)
Cl (0.500, 0.000, 0.000)
Cl (0.894, 0.676, 0.619)

Properties
raw formation energy: -0.35 eV/atom
crystal system: triclinic

=====

Record 11
Hf2Pa5N12: optimized geometry, PBE.

abc: 6.074 6.992 7.407
angles: 105.04 90.00 115.75
Positions (direct):
Hf (0.758, 0.000, 0.000)
Hf (0.242, 0.000, 0.000)
Pa (0.308, 0.616, 0.646)
Pa (0.306, 0.612, 0.159)
Pa (0.000, 0.000, 0.500)
Pa (0.694, 0.388, 0.841)
Pa (0.692, 0.384, 0.354)
N (0.992, 0.985, 0.204)
N (0.099, 0.647, 0.905)
N (0.548, 0.647, 0.905)
N (0.091, 0.685, 0.428)
N (0.593, 0.685, 0.428)
N (0.503, 0.006, 0.798)
N (0.497, 0.994, 0.202)
N (0.909, 0.315, 0.572)
N (0.407, 0.315, 0.572)
N (0.901, 0.353, 0.095)
N (0.452, 0.353, 0.095)
N (0.008, 0.015, 0.796)

Properties
raw formation energy: -1.37 eV/atom
crystal system: monoclinic

=====

Record 12
RbPm2AgO4: optimized geometry, PBE.

abc: 3.672 6.401 12.715
angles: 90.00 90.00 106.67
Positions (direct):
Rb (0.086, 0.173, 0.750)
Rb (0.914, 0.827, 0.250)
Pm (0.367, 0.735, 0.560)
Pm (0.633, 0.265, 0.060)
Pm (0.633, 0.265, 0.440)
Pm (0.367, 0.735, 0.940)
Ag (0.804, 0.607, 0.750)
Ag (0.196, 0.393, 0.250)
O (0.251, 0.501, 0.085)
O (0.749, 0.499, 0.585)
O (0.749, 0.499, 0.915)
O (0.251, 0.501, 0.415)
O (0.000, 0.000, 0.500)
O (0.000, 0.000, 0.000)
O (0.421, 0.842, 0.750)
O (0.579, 0.158, 0.250)

Properties
raw formation energy: -2.25 eV/atom
crystal system: orthorhombic

=====

Record 13
Ca3ZrRh: optimized geometry, PBE.

abc: 5.410 5.410 5.410
angles: 90.00 90.00 90.00
Positions (direct):
Ca (0.000, 0.500, 0.000)
Ca (0.000, 0.000, 0.500)
Ca (0.500, 0.000, 0.000)
Rh (0.000, 0.000, 0.000)
Zr (0.500, 0.500, 0.500)

Properties
crystal system: cubic
energy relative to the elements: 327 meV/atom

=====

Record 14
TbDyY2Se6: optimized geometry, PBE.

abc: 7.217 7.217 7.715
angles: 62.11 62.11 59.99
Positions (direct):
Tb (0.318, 0.318, 0.046)
Dy (0.818, 0.818, 0.545)
Y (0.514, 0.514, 0.458)
Y (0.014, 0.014, 0.957)
Se (0.612, 0.221, 0.252)
Se (0.221, 0.915, 0.252)
Se (0.915, 0.612, 0.252)
Se (0.417, 0.722, 0.751)
Se (0.722, 0.111, 0.751)
Se (0.111, 0.417, 0.751)

Properties
raw formation energy: -1.86 eV/atom
crystal system: trigonal

=====

Record 15
Na3ZnB2O6: optimized geometry, PBE.

abc: 5.218 5.218 6.133
angles: 90.00 90.00 120.00
Positions (direct):
Na (0.333, 0.667, 0.735)
Na (0.667, 0.333, 0.265)
Na (0.000, 0.000, 0.000)
Zn (0.000, 0.000, 0.500)
B (0.667, 0.333, 0.721)
B (0.333, 0.667, 0.279)
O (0.638, 0.819, 0.277)
O (0.181, 0.362, 0.277)
O (0.181, 0.819, 0.277)
O (0.819, 0.638, 0.723)
O (0.362, 0.181, 0.723)
O (0.819, 0.181, 0.723)

Properties
raw formation energy: -1.86 eV/atom
crystal system: trigonal

=====

Record 16
As3HRu: optimized geometry, PBE.

abc: 4.773 4.773 4.773
angles: 90.00 90.00 90.00
Positions (direct):
Ru (0.000, 0.000, 0.000)
As (0.000, 0.500, 0.000)
As (0.000, 0.000, 0.500)
As (0.500, 0.000, 0.000)
H (0.500, 0.500, 0.500)

Properties
crystal system: cubic

=====

Record 17
Tl2Cd2P: optimized geometry, PBE.

abc: 7.037 7.037 5.348
angles: 90.00 90.00 90.00
Positions (direct):
P (0.000, 0.000, 0.000)
P (0.500, 0.500, 0.000)
Tl (0.172, 0.672, 0.500)
Tl (0.672, 0.828, 0.500)
Tl (0.828, 0.328, 0.500)
Tl (0.328, 0.172, 0.500)
Cd (0.357, 0.857, 0.000)
Cd (0.857, 0.643, 0.000)
Cd (0.643, 0.143, 0.000)
Cd (0.143, 0.357, 0.000)

Properties
crystal system: tetragonal
energy relative to the elements: 126 meV/atom

=====

Record 18
Mg4Cd5Ga2: optimized geometry, PBE.

abc: 3.169 7.544 9.858
angles: 94.00 90.00 90.00
Positions (direct):
Mg (0.500, 0.733, 0.559)
Mg (0.500, 0.176, 0.883)
Mg (0.500, 0.267, 0.441)
Mg (0.500, 0.824, 0.117)
Cd (0.000, 0.553, 0.307)
Cd (0.000, 0.177, 0.156)
Cd (0.000, 0.500, 0.000)
Cd (0.000, 0.823, 0.844)
Cd (0.000, 0.447, 0.693)
Ga (0.000, 0.068, 0.637)
Ga (0.000, 0.932, 0.363)

Properties
crystal system: monoclinic
energy relative to the elements: -75 meV/atom

=====

Record 19
In4CuRe2: optimized geometry, PBE.

abc: 5.116 5.116 7.559
angles: 70.22 70.22 90.00
Positions (direct):
Re (0.588, 0.588, 0.824)
Re (0.412, 0.412, 0.176)
Cu (0.000, 0.000, 0.000)
In (0.804, 0.804, 0.393)
In (0.196, 0.196, 0.607)
In (0.000, 0.500, 0.000)
In (0.500, 0.000, 0.000)

Properties
crystal system: tetragonal
energy relative to the elements: 954 meV/atom

=====

Record 20
Sm2Ho6In3: optimized geometry, PBE.

abc: 4.527 4.527 17.033
angles: 97.64 97.64 90.00
Positions (direct):
Sm (0.456, 0.456, 0.911)
Sm (0.544, 0.544, 0.089)
Ho (0.128, 0.628, 0.257)
Ho (0.628, 0.128, 0.257)
Ho (0.872, 0.372, 0.743)
Ho (0.372, 0.872, 0.743)
Ho (0.713, 0.713, 0.426)
Ho (0.287, 0.287, 0.574)
In (0.000, 0.000, 0.000)
In (0.806, 0.806, 0.612)
In (0.194, 0.194, 0.388)

Properties
crystal system: tetragonal
energy relative to the elements: -4 meV/atom

=====

Short version: DFT total energy = -79.4 -129.4 -33.2 -32.9 -25.3 -140.0 -34.8 -55.8 -36.6 -25.1 -193.4 -102.3 -20.3 -61.7 -70.7 -21.9 -22.7 -17.8 -33.3 -45.2 eV for the cell shown, in the order given.